## KBaHg2Cl (meta-GGA SCAN)

Data for KBaHg2Cl at its PBEsol-relaxed geometry.

Properties
The calculation puts the volume at 94.17 A^3/atom. Its space group is P4/mmm, No. 123. The total energy is -38.6034 eV per atom.

Lattice parameters (Å, degrees): 6.188 6.188 12.298 90.00 90.00 90.00
Each line ends with the local moment (μB).
Fractional coordinates of all 5 atoms:
K 0.000 0.000 0.500  0.00
Cl 0.500 0.500 0.500  0.00
Hg 0.000 0.500 0.000  0.10
Hg 0.500 0.000 0.000  0.10
Ba 0.000 0.000 0.000  0.27

***

## Ba2HoCl7 (meta-GGA SCAN)

Data for Ba2HoCl7 at its PBEsol-relaxed geometry.

Properties
The calculation puts the volume at 27.12 A^3/atom. Its space group is P2_1/c, No. 14. The total energy is -21.1256 eV per atom.

Lattice parameters (Å, degrees): 6.770 10.424 15.370 90.00 90.00 90.71
Fractional coordinates of all 40 atoms:
Ba 0.766 0.549 0.720
Ba 0.234 0.451 0.280
Ba 0.234 0.951 0.220
Ba 0.766 0.049 0.780
Ba 0.236 0.824 0.561
Ba 0.764 0.176 0.439
Ba 0.764 0.676 0.061
Ba 0.236 0.324 0.939
Ho 0.280 0.782 0.873
Ho 0.720 0.218 0.127
Ho 0.720 0.718 0.373
Ho 0.280 0.282 0.627
Cl 0.625 0.879 0.931
Cl 0.375 0.121 0.069
Cl 0.375 0.621 0.431
Cl 0.625 0.379 0.569
Cl 0.013 0.586 0.895
Cl 0.987 0.414 0.105
Cl 0.987 0.914 0.395
Cl 0.013 0.086 0.605
Cl 0.203 0.787 0.041
Cl 0.797 0.213 0.959
Cl 0.797 0.713 0.541
Cl 0.203 0.287 0.459
Cl 0.205 0.530 0.639
Cl 0.795 0.470 0.361
Cl 0.795 0.970 0.139
Cl 0.205 0.030 0.861
Cl 0.012 0.802 0.742
Cl 0.988 0.198 0.258
Cl 0.988 0.698 0.242
Cl 0.012 0.302 0.758
Cl 0.501 0.796 0.728
Cl 0.499 0.204 0.272
Cl 0.499 0.704 0.228
Cl 0.501 0.296 0.772
Cl 0.501 0.572 0.896
Cl 0.499 0.428 0.104
Cl 0.499 0.928 0.396
Cl 0.501 0.072 0.604

***

## BaI2Cl (meta-GGA SCAN)

Data for BaI2Cl at its PBEsol-relaxed geometry.

Properties
The calculation puts the volume at 36.30 A^3/atom. Its space group is I-42d, No. 122. The total energy is -31.6791 eV per atom.

Lattice parameters (Å, degrees): 4.784 4.784 13.133 100.49 100.49 90.00
Fractional coordinates of all 8 atoms:
I 0.372 0.875 0.250
I 0.878 0.375 0.250
I 0.125 0.122 0.750
I 0.625 0.628 0.750
Ba 0.250 0.750 0.500
Ba 0.000 0.000 0.000
Cl 0.750 0.250 0.500
Cl 0.500 0.500 0.000

***

## BaMoI2Cl (meta-GGA SCAN)

Data for BaMoI2Cl at its PBEsol-relaxed geometry.

Properties
The calculation puts the volume at 34.39 A^3/atom. Its space group is P4/mmm, No. 123. The total energy is -31.6220 eV per atom.

Lattice parameters (Å, degrees): 5.173 5.173 6.426 90.00 90.00 90.00
Each line ends with the local moment (μB).
Fractional coordinates of all 5 atoms:
I 0.000 0.500 0.000  0.04
I 0.500 0.000 0.000  0.04
Mo 0.000 0.000 0.000  1.59
Ba 0.000 0.000 0.500  0.00
Cl 0.500 0.500 0.500  0.00